(1)
# AcTb4Dy3

A geometry-optimized AcTb4Dy3 structure (GGA-PBE, Alexandria).

Properties
volume: 33.5 A^3/atom
DFT formation energy: 1.30 eV/f.u.

Unit cell a=3.483 b=11.787 c=13.037 alpha=90.00 beta=90.00 gamma=90.00
Space group Immm (No. 71)
Asymmetric unit:
Ac 0.000 0.000 0.000 x2
Tb 0.000 0.254 0.135 x8
Dy 0.000 0.000 0.500 x2
Dy 0.000 0.500 0.256 x4

---

(2)
# Ac2Tb7Dy4

A geometry-optimized Ac2Tb7Dy4 structure (GGA-PBE, Alexandria).

Properties
volume: 34.2 A^3/atom
DFT formation energy: 2.88 eV/f.u.

Unit cell a=6.1955 b=6.1955 c=13.3762 alpha=90.00 beta=90.00 gamma=120.00
Space group P-31m (No. 162)
Asymmetric unit:
Ac 0.3333 0.6667 0.0000 x2
Tb 0.0000 0.0000 0.0000 x1
Tb 0.0000 0.3580 0.7779 x6
Dy 0.0000 0.0000 0.3954 x2
Dy 0.3333 0.6667 0.5000 x2

---

- volume of number 1 (AcTb4Dy3)?
  33.5 A^3/atom

---

- DFT formation energy of number 2 (Ac2Tb7Dy4)?
  2.88 eV/f.u.

---

- The lowest volume belongs to which entry?
  AcTb4Dy3

---

Copy entry 2 word for word.
# Ac2Tb7Dy4

A geometry-optimized Ac2Tb7Dy4 structure (GGA-PBE, Alexandria).

Properties
volume: 34.2 A^3/atom
DFT formation energy: 2.88 eV/f.u.

Unit cell a=6.1955 b=6.1955 c=13.3762 alpha=90.00 beta=90.00 gamma=120.00
Space group P-31m (No. 162)
Asymmetric unit:
Ac 0.3333 0.6667 0.0000 x2
Tb 0.0000 0.0000 0.0000 x1
Tb 0.0000 0.3580 0.7779 x6
Dy 0.0000 0.0000 0.3954 x2
Dy 0.3333 0.6667 0.5000 x2